No. 1
CoW2: single point on PBEsol structure, SCAN.

CIF file:
```
data_CoW2
_space_group_name_H-M_alt 'P 1'
_space_group_IT_number 1
_cell_length_a 4.714
_cell_length_b 4.805
_cell_length_c 4.805
_cell_angle_alpha 76.08
_cell_angle_beta 60.62
_cell_angle_gamma 60.62
loop_
_space_group_symop_operation_xyz
'x,y,z'
loop_
_atom_site_label
_atom_site_type_symbol
_atom_site_fract_x
_atom_site_fract_y
_atom_site_fract_z
Co1 Co 0.250 0.000 0.000
Co2 Co 0.750 0.000 0.000
W1 W 0.160 0.500 0.181
W2 W 0.660 0.181 0.500
W3 W 0.340 0.819 0.500
W4 W 0.840 0.500 0.819
```

Results
Final energy (eV per formula unit): -156.38
Total magnetization (Bohr magnetons per cell): 0.000
Formation enthalpy at 0 K (eV/f.u.): 0.30

No. 2
Li4SiGe3O10: single point on PBEsol structure, SCAN.

CIF file:
```
data_Li4SiGe3O10
_space_group_name_H-M_alt 'P 1'
_space_group_IT_number 1
_cell_length_a 4.925
_cell_length_b 6.015
_cell_length_c 7.921
_cell_angle_alpha 89.63
_cell_angle_beta 72.17
_cell_angle_gamma 89.91
loop_
_space_group_symop_operation_xyz
'x,y,z'
loop_
_atom_site_label
_atom_site_type_symbol
_atom_site_fract_x
_atom_site_fract_y
_atom_site_fract_z
Li1 Li 0.633 0.650 0.885
Li2 Li 0.520 0.351 0.113
Li3 Li 0.132 0.355 0.881
Li4 Li 0.023 0.649 0.107
Si1 Si 0.211 0.844 0.714
Ge1 Ge 0.931 0.158 0.286
Ge2 Ge 0.710 0.154 0.712
Ge3 Ge 0.428 0.838 0.294
O1 O 0.528 0.892 0.740
O2 O 0.298 0.111 0.265
O3 O 0.050 0.093 0.738
O4 O 0.798 0.885 0.265
O5 O 0.037 0.667 0.857
O6 O 0.901 0.341 0.128
O7 O 0.531 0.342 0.866
O8 O 0.396 0.656 0.138
O9 O 0.251 0.755 0.512
O10 O 0.749 0.259 0.499
```

Results
Final energy (eV per formula unit): -179.07
Total magnetization (Bohr magnetons per cell): 0.002
Uncorrected formation energy (meV per atom): -2218

No. 3
LuAsO4: single point on PBEsol structure, SCAN.

CIF file:
```
data_LuAsO4
_space_group_name_H-M_alt 'P 1'
_space_group_IT_number 1
_cell_length_a 5.794
_cell_length_b 5.794
_cell_length_c 5.794
_cell_angle_alpha 106.68
_cell_angle_beta 106.68
_cell_angle_gamma 115.20
loop_
_space_group_symop_operation_xyz
'x,y,z'
loop_
_atom_site_label
_atom_site_type_symbol
_atom_site_fract_x
_atom_site_fract_y
_atom_site_fract_z
Lu1 Lu 0.250 0.750 0.500
Lu2 Lu 0.000 0.000 0.000
As1 As 0.500 0.500 0.000
As2 As 0.750 0.250 0.500
O1 O 0.932 0.617 0.685
O2 O 0.867 0.682 0.185
O3 O 0.498 0.682 0.815
O4 O 0.932 0.248 0.315
O5 O 0.383 0.068 0.315
O6 O 0.318 0.133 0.815
O7 O 0.318 0.502 0.185
O8 O 0.752 0.068 0.685
```

Results
Final energy (eV per formula unit): -116.38
Total magnetization (Bohr magnetons per cell): 0.000
Uncorrected formation energy (meV per atom): -2654

No. 4
TaTlSn3: single point on PBEsol structure, SCAN.

CIF file:
```
data_TaTlSn3
_space_group_name_H-M_alt 'P 1'
_space_group_IT_number 1
_cell_length_a 5.341
_cell_length_b 5.341
_cell_length_c 5.341
_cell_angle_alpha 90.00
_cell_angle_beta 90.00
_cell_angle_gamma 90.00
loop_
_space_group_symop_operation_xyz
'x,y,z'
loop_
_atom_site_label
_atom_site_type_symbol
_atom_site_fract_x
_atom_site_fract_y
_atom_site_fract_z
Tl1 Tl 0.500 0.500 0.500
Sn1 Sn 0.000 0.500 0.000
Sn2 Sn 0.000 0.000 0.500
Sn3 Sn 0.500 0.000 0.000
Ta1 Ta 0.000 0.000 0.000
```

Results
Final energy (eV per formula unit): -245.31
Total magnetization (Bohr magnetons per cell): 0.000
Formation enthalpy at 0 K (eV/f.u.): 1.39

No. 5
Ba2TaCoRh: single point on PBEsol structure, SCAN.

CIF file:
```
data_Ba2TaCoRh
_space_group_name_H-M_alt 'P 1'
_space_group_IT_number 1
_cell_length_a 4.550
_cell_length_b 5.452
_cell_length_c 5.452
_cell_angle_alpha 90.00
_cell_angle_beta 90.00
_cell_angle_gamma 90.00
loop_
_space_group_symop_operation_xyz
'x,y,z'
loop_
_atom_site_label
_atom_site_type_symbol
_atom_site_fract_x
_atom_site_fract_y
_atom_site_fract_z
Co1 Co 0.000 0.000 0.000
Rh1 Rh 0.500 0.500 0.500
Ba1 Ba 0.000 0.000 0.500
Ba2 Ba 0.000 0.500 0.000
Ta1 Ta 0.500 0.000 0.000
```

Results
Final energy (eV per formula unit): -191.28
Total magnetization (Bohr magnetons per cell): 1.242
Formation enthalpy at 0 K (eV/f.u.): 5.48

No. 6
ScIrI2N: single point on PBEsol structure, SCAN.

CIF file:
```
data_ScIrI2N
_space_group_name_H-M_alt 'P 1'
_space_group_IT_number 1
_cell_length_a 3.690
_cell_length_b 5.549
_cell_length_c 5.549
_cell_angle_alpha 90.00
_cell_angle_beta 90.00
_cell_angle_gamma 90.00
loop_
_space_group_symop_operation_xyz
'x,y,z'
loop_
_atom_site_label
_atom_site_type_symbol
_atom_site_fract_x
_atom_site_fract_y
_atom_site_fract_z
I1 I 0.000 0.000 0.500
I2 I 0.000 0.500 0.000
Sc1 Sc 0.000 0.000 0.000
Ir1 Ir 0.500 0.500 0.500
N1 N 0.500 0.000 0.000
```

Results
Final energy (eV per formula unit): -163.63
Total magnetization (Bohr magnetons per cell): 0.908
Uncorrected formation energy (meV per atom): 896

No. 7
NbW3F: single point on PBEsol structure, SCAN.

CIF file:
```
data_NbW3F
_space_group_name_H-M_alt 'P 1'
_space_group_IT_number 1
_cell_length_a 4.219
_cell_length_b 4.219
_cell_length_c 4.219
_cell_angle_alpha 90.00
_cell_angle_beta 90.00
_cell_angle_gamma 90.00
loop_
_space_group_symop_operation_xyz
'x,y,z'
loop_
_atom_site_label
_atom_site_type_symbol
_atom_site_fract_x
_atom_site_fract_y
_atom_site_fract_z
Nb1 Nb 0.500 0.500 0.500
W1 W 0.000 0.500 0.000
W2 W 0.000 0.000 0.500
W3 W 0.500 0.000 0.000
F1 F 0.000 0.000 0.000
```

Results
Final energy (eV per formula unit): -241.36
Total magnetization (Bohr magnetons per cell): 0.000
Uncorrected formation energy (meV per atom): 874

No. 8
Mn2NbCu2: single point on PBEsol structure, SCAN.

CIF file:
```
data_Mn2NbCu2
_space_group_name_H-M_alt 'P 1'
_space_group_IT_number 1
_cell_length_a 3.339
_cell_length_b 3.339
_cell_length_c 6.169
_cell_angle_alpha 105.70
_cell_angle_beta 105.70
_cell_angle_gamma 90.00
loop_
_space_group_symop_operation_xyz
'x,y,z'
loop_
_atom_site_label
_atom_site_type_symbol
_atom_site_fract_x
_atom_site_fract_y
_atom_site_fract_z
Nb1 Nb 0.000 0.000 0.000
Mn1 Mn 0.250 0.750 0.500
Mn2 Mn 0.750 0.250 0.500
Cu1 Cu 0.399 0.399 0.799
Cu2 Cu 0.601 0.601 0.201
```

Results
Final energy (eV per formula unit): -97.85
Total magnetization (Bohr magnetons per cell): 0.003
Formation enthalpy at 0 K (eV/f.u.): 2.18

No. 9
SrZrZn2: single point on PBEsol structure, SCAN.

CIF file:
```
data_SrZrZn2
_space_group_name_H-M_alt 'P 1'
_space_group_IT_number 1
_cell_length_a 3.278
_cell_length_b 4.254
_cell_length_c 6.518
_cell_angle_alpha 90.00
_cell_angle_beta 90.00
_cell_angle_gamma 90.00
loop_
_space_group_symop_operation_xyz
'x,y,z'
loop_
_atom_site_label
_atom_site_type_symbol
_atom_site_fract_x
_atom_site_fract_y
_atom_site_fract_z
Sr1 Sr 0.500 0.500 0.782
Zn1 Zn 0.000 0.000 0.021
Zn2 Zn 0.500 0.500 0.272
Zr1 Zr 0.000 0.000 0.425
```

Results
Final energy (eV per formula unit): -79.38
Total magnetization (Bohr magnetons per cell): 0.000
Formation enthalpy at 0 K (eV/f.u.): 0.63

No. 10
Ba2As2O7: single point on PBEsol structure, SCAN.

CIF file:
```
data_Ba2As2O7
_space_group_name_H-M_alt 'P 1'
_space_group_IT_number 1
_cell_length_a 7.419
_cell_length_b 7.424
_cell_length_c 13.398
_cell_angle_alpha 87.05
_cell_angle_beta 83.16
_cell_angle_gamma 89.46
loop_
_space_group_symop_operation_xyz
'x,y,z'
loop_
_atom_site_label
_atom_site_type_symbol
_atom_site_fract_x
_atom_site_fract_y
_atom_site_fract_z
Ba1 Ba 0.875 0.354 0.638
Ba2 Ba 0.125 0.646 0.362
Ba3 Ba 0.270 0.764 0.651
Ba4 Ba 0.730 0.236 0.349
Ba5 Ba 0.717 0.672 0.140
Ba6 Ba 0.283 0.328 0.860
Ba7 Ba 0.666 0.916 0.842
Ba8 Ba 0.334 0.084 0.158
As1 As 0.601 0.768 0.394
As2 As 0.399 0.232 0.606
As3 As 0.801 0.820 0.590
As4 As 0.199 0.180 0.410
As5 As 0.797 0.428 0.892
As6 As 0.203 0.572 0.108
As7 As 0.194 0.840 0.913
As8 As 0.806 0.160 0.087
O1 O 0.977 0.489 0.807
O2 O 0.023 0.511 0.193
O3 O 0.869 0.997 0.649
O4 O 0.131 0.003 0.351
O5 O 0.748 0.604 0.352
O6 O 0.252 0.396 0.648
O7 O 0.716 0.906 0.476
O8 O 0.284 0.094 0.524
O9 O 0.678 0.000 0.042
O10 O 0.322 0.000 0.958
O11 O 0.692 0.601 0.951
O12 O 0.308 0.399 0.049
O13 O 0.337 0.699 0.845
O14 O 0.663 0.301 0.155
O15 O 0.639 0.697 0.663
O16 O 0.361 0.303 0.337
O17 O 0.406 0.698 0.461
O18 O 0.594 0.302 0.539
O19 O 0.579 0.919 0.297
O20 O 0.421 0.081 0.703
O21 O 0.980 0.685 0.552
O22 O 0.020 0.315 0.448
O23 O 0.031 0.929 0.849
O24 O 0.969 0.071 0.151
O25 O 0.916 0.294 0.981
O26 O 0.084 0.706 0.019
O27 O 0.659 0.291 0.837
O28 O 0.341 0.709 0.163
```

Results
Final energy (eV per formula unit): -188.01
Total magnetization (Bohr magnetons per cell): 0.259
Uncorrected formation energy (meV per atom): -2265

The following volume values (in Å³/cell) correspond, in order, to the records above: 83; 223; 149; 152; 135; 114; 75; 64; 91; 732.
The following DOS at the Fermi energy values (in states/eV/f.u.) correspond, in order, to the records above: 2.44; 0.00; 0.00; 2.70; 5.85; 4.27; 6.60; 2.88; 2.23; 0.00.